No. 1
The following is a PBE calculation of a relaxed CaBeSi2 crystal, from Alexandria via LeMat-Bulk.

Values from the calculation:
The space-group type is F-43m (216). The crystal system is cubic. Its energy relative to the elements, uncorrected is 419 meV/atom. The calculation puts the theoretical density at 2.568 g/cm3.

abc: 4.583 4.583 4.583
angles: 60.00 60.00 60.00
Fractional coordinates of all 4 atoms:
Ca 0.000 0.000 0.000
Be 0.250 0.250 0.250
Si 0.500 0.500 0.500
Si 0.750 0.750 0.750

---

No. 2
The following is a PBE calculation of a relaxed LaTb5YEr2 crystal, from Alexandria via LeMat-Bulk.

Values from the calculation:
The space-group type is Cmc2_1 (36). The crystal system is orthorhombic. The calculation puts the theoretical density at 7.617 g/cm3. For the formation energy from the elements, the calculation gives 0.163 eV per atom.

abc: 10.316 10.316 10.588
angles: 90.00 90.00 148.33
Fractional coordinates of all 18 atoms:
La 0.082 0.918 0.500
La 0.918 0.082 0.000
Tb 0.021 0.979 0.787
Tb 0.113 0.887 0.073
Tb 0.203 0.797 0.759
Tb 0.218 0.782 0.362
Tb 0.483 0.517 0.074
Tb 0.517 0.483 0.574
Tb 0.782 0.218 0.862
Tb 0.797 0.203 0.259
Tb 0.887 0.113 0.573
Tb 0.979 0.021 0.287
Y 0.300 0.700 0.062
Y 0.700 0.300 0.562
Er 0.386 0.614 0.369
Er 0.388 0.612 0.783
Er 0.612 0.388 0.283
Er 0.614 0.386 0.869

---

No. 3
The following is a PBE calculation of a relaxed NaSnPb2Br8 crystal, from Alexandria via LeMat-Bulk.

Values from the calculation:
The space-group type is P2/m (10). The crystal system is monoclinic. Its energy relative to the elements, uncorrected is -905 meV/atom. The calculation puts the theoretical density at 4.594 g/cm3.

abc: 6.828 8.845 7.155
angles: 90.00 90.80 90.00
Fractional coordinates of all 12 atoms:
Na 0.000 0.000 0.000
Sn 0.000 0.500 0.000
Pb 0.500 0.247 0.500
Pb 0.500 0.753 0.500
Br 0.229 0.266 0.157
Br 0.229 0.734 0.157
Br 0.240 0.500 0.681
Br 0.266 0.000 0.663
Br 0.734 0.000 0.337
Br 0.760 0.500 0.319
Br 0.771 0.266 0.843
Br 0.771 0.734 0.843

---

No. 4
The following is a PBE calculation of a relaxed Y2SiSe crystal, from Alexandria via LeMat-Bulk.

Values from the calculation:
The space-group type is F-43m (216). The crystal system is cubic. The calculation puts the excess energy over the best structure of this formula in the dataset at 1193 meV/atom. Its energy relative to the elements, uncorrected is -152 meV/atom. The calculation puts the theoretical density at 5.246 g/cm3.

abc: 5.033 5.033 5.033
angles: 60.00 60.00 60.00
Fractional coordinates of all 4 atoms:
Y 0.000 0.000 0.000
Y 0.250 0.250 0.250
Si 0.750 0.750 0.750
Se 0.500 0.500 0.500

---

No. 5
The following is a PBE calculation of a relaxed NdSeF crystal, from Alexandria via LeMat-Bulk.

Values from the calculation:
The space-group type is C2/m (12). The crystal system is monoclinic. Its energy relative to the elements, uncorrected is -2819 meV/atom. The calculation puts the theoretical density at 5.573 g/cm3.

abc: 5.442 5.442 7.146
angles: 104.64 104.64 45.16
Fractional coordinates of all 6 atoms:
Nd 0.198 0.198 0.249
Nd 0.802 0.802 0.751
Se 0.106 0.106 0.821
Se 0.894 0.894 0.179
F 0.331 0.331 0.593
F 0.669 0.669 0.407

---

No. 6
The following is a PBE calculation of a relaxed PmTm6Ni2 crystal, from Alexandria via LeMat-Bulk.

Values from the calculation:
The space-group type is Immm (71). The crystal system is orthorhombic. The calculation puts the theoretical density at 9.178 g/cm3. For the formation energy from the elements, the calculation gives -0.141 eV per atom.

abc: 8.456 8.456 8.456
angles: 115.42 106.70 106.47
Fractional coordinates of all 18 atoms:
Pm 0.000 0.000 0.000
Pm 0.500 0.500 0.000
Tm 0.000 0.223 0.777
Tm 0.000 0.777 0.223
Tm 0.193 0.303 0.496
Tm 0.193 0.697 0.890
Tm 0.309 0.008 0.698
Tm 0.309 0.611 0.302
Tm 0.446 0.223 0.223
Tm 0.554 0.777 0.777
Tm 0.691 0.389 0.698
Tm 0.691 0.992 0.302
Tm 0.807 0.303 0.110
Tm 0.807 0.697 0.504
Ni 0.119 0.619 0.500
Ni 0.374 0.000 0.374
Ni 0.626 0.000 0.626
Ni 0.881 0.381 0.500

---

Computed size of the total moment (μB per formula unit) in order:
0.00; 0.00; 0.00; 0.00; 0.00; 0.00